# La4PPb2 (GGA-PBE, optimized geometry)
data_La4PPb2
_symmetry_space_group_name_H-M 'C 1 2/m 1'
_symmetry_Int_Tables_number 12
_symmetry_space_group_name_Hall '-C 2y'
_cell_length_a 12.287
_cell_length_b 4.681
_cell_length_c 9.173
_cell_angle_alpha 90.00
_cell_angle_beta 120.82
_cell_angle_gamma 90.00
loop_
_atom_site_label
_atom_site_fract_x
_atom_site_fract_y
_atom_site_fract_z
_atom_site_occupancy
La1 0.079 0.000 0.356 1
La2 0.167 0.500 0.067 1
P1 0.000 0.000 0.000 1
Pb1 0.139 0.500 0.662 1
# **V**: 453 Å³/cell
# **Distance to the lowest polymorph of the same formula**: 0.0000 eV per atom
# **Calculated total energy**: -5.479 eV per atom
# **Total magnetization**: 0.00 μB per formula unit
# **Energy of formation from the pure elements**: -0.831 eV per atom